Record 1
An optimized crystal structure of CeDyHo2As4, computed with PBE.

Unit cell a=7.152 b=4.135 c=7.155 alpha=90.00 beta=109.42 gamma=90.00
Space group P2/m (No. 10)
One atom of each set of equivalent atoms:
Ce  0.000  0.000  0.000 [1 per cell]
Dy  0.000  0.500  0.500 [1 per cell]
Ho  0.500  0.000  0.500 [1 per cell]
Ho  0.500  0.500  0.000 [1 per cell]
As  0.252  0.000  0.750 [2 per cell]
As  0.254  0.500  0.253 [2 per cell]

Energy, eV/atom: -6.2915
Spin magnetization, μB per formula unit: 0.55

---

Record 2
An optimized crystal structure of CeDy3Ho2As6, computed with PBE.

Unit cell a=7.147 b=12.378 c=7.152 alpha=90.00 beta=109.46 gamma=90.00
Space group C2/m (No. 12)
One atom of each set of equivalent atoms:
Ce  0.000  0.000  0.000 [2 per cell]
Dy  0.000  0.166  0.500 [4 per cell]
Dy  0.000  0.500  0.500 [2 per cell]
Ho  0.000  0.333  0.000 [4 per cell]
As  0.248  0.500  0.249 [4 per cell]
As  0.249  0.333  0.749 [8 per cell]

Energy, eV/atom: -6.2515
Spin magnetization, μB per formula unit: 0.48

---

Record 3
An optimized crystal structure of Ce2DyHoAs4, computed with PBE.

Unit cell a=7.199 b=4.165 c=7.215 alpha=90.00 beta=109.51 gamma=90.00
Space group P2/m (No. 10)
One atom of each set of equivalent atoms:
Ce  0.000  0.000  0.000 [1 per cell]
Ce  0.000  0.500  0.500 [1 per cell]
Dy  0.500  0.000  0.500 [1 per cell]
Ho  0.500  0.500  0.000 [1 per cell]
As  0.255  0.000  0.752 [2 per cell]
As  0.255  0.500  0.251 [2 per cell]

Energy, eV/atom: -6.4355
Spin magnetization, μB per formula unit: 1.27

---

Record 4
An optimized crystal structure of Ce2DyHo3As6, computed with PBE.

Unit cell a=18.032 b=4.145 c=8.281 alpha=90.00 beta=103.18 gamma=90.00
Space group C2/m (No. 12)
One atom of each set of equivalent atoms:
Ce  0.166  0.000  0.332 [4 per cell]
Dy  0.000  0.500  0.000 [2 per cell]
Ho  0.000  0.500  0.500 [2 per cell]
Ho  0.166  0.000  0.834 [4 per cell]
As  0.001  0.000  0.750 [4 per cell]
As  0.166  0.500  0.586 [4 per cell]
As  0.167  0.500  0.080 [4 per cell]

Energy, eV/atom: -6.3377
Spin magnetization, μB per formula unit: 1.24

---

Q: Number 1 is which compound?
A: CeDyHo2As4

---

Q: Which of these has the lowest energy?
A: Ce2DyHoAs4

---

Q: Which of these has the lowest energy?
A: Ce2DyHoAs4